This record from the Alexandria database describes a relaxed Te2Pb crystal. The functional is PBEsol.

Properties
The formation energy without anion corrections is -0.1116 eV/atom.

Cell: 6.039 7.935 4.672 Å, 90.00 90.00 90.00°
Fractional coordinates of all 6 atoms:
Te 0.168 0.118 0.000
Te 0.332 0.618 0.500
Te 0.668 0.382 0.500
Te 0.832 0.882 0.000
Pb 0.000 0.500 0.000
Pb 0.500 0.000 0.500